(1)
VASP calculation (PBE-GGA) on a geometry-optimized K2Cu2AgBr7 structure.

space group: C2/m, No. 12

a = 5.1676 Å, b = 5.1676 Å, c = 13.4268 Å
α = 78.74°, β = 78.74°, γ = 90.01°
Last column: nearest neighbours and their distance in Å.
Fractional coordinates of all 12 atoms:
K  0.8250  0.8250  0.3518  9 Br 3.36-3.69
K  0.1750  0.1750  0.6482  9 Br 3.36-3.69
Cu  0.5956  0.5956  0.8059  6 Br 2.50-2.60
Cu  0.4044  0.4044  0.1941  6 Br 2.50-2.60
Ag  0.0000  0.0000  0.0000  12 Br 3.38-3.65
Br  0.5000  0.5000  0.0000  2 Cu 2.51
Br  0.3057  0.3057  0.3879  1 Cu 2.50
Br  0.6943  0.6943  0.6121  1 Cu 2.50
Br  0.9158  0.4182  0.1714  2 Cu 2.60
Br  0.4182  0.9158  0.1714  2 Cu 2.60
Br  0.5818  0.0842  0.8286  2 Cu 2.60
Br  0.0842  0.5818  0.8286  2 Cu 2.60

=====

(2)
VASP calculation (PBE-GGA) on a geometry-optimized KCuAgBr6 structure.

space group: P1, No. 1

a = 8.7062 Å, b = 7.6278 Å, c = 7.1512 Å
α = 88.14°, β = 73.59°, γ = 47.18°
Last column: nearest neighbours and their distance in Å.
Fractional coordinates of all 9 atoms:
K  0.0003  0.9921  0.0061  8 Br 3.32-3.69
Cu  0.6762  0.6868  0.5441  4 Br 2.33-2.45
Ag  0.3202  0.3212  0.4580  4 Br 2.51-2.66
Br  0.9985  0.2979  0.3415  1 Cu 2.33
Br  0.3394  0.0857  0.7479  1 Cu 2.39, 1 Ag 2.66
Br  0.6186  0.5035  0.7946  1 Cu 2.39
Br  0.9659  0.7421  0.6690  1 Ag 2.51
Br  0.4046  0.4941  0.1781  1 Ag 2.57, 1 Br 2.88
Br  0.6762  0.8767  0.2605  1 Cu 2.45, 1 Ag 2.58

=====

(3)
VASP calculation (PBE-GGA) on a geometry-optimized K2Cu2AgBr6 structure.

space group: P-3, No. 147

a = 7.6523 Å, b = 7.6523 Å, c = 7.4238 Å
α = 90.00°, β = 90.00°, γ = 120.00°
Last column: nearest neighbours and their distance in Å.
Fractional coordinates of all 11 atoms:
K  0.6667  0.3333  0.6698  3 Br 3.28, 1 Cu 3.47
K  0.3333  0.6667  0.3302  3 Br 3.28, 1 Cu 3.47
Cu  0.3333  0.6667  0.7981  3 Br 2.34
Cu  0.6667  0.3333  0.2020  3 Br 2.34
Ag  0.0000  0.0000  0.0000  6 Br 2.86
Br  0.0825  0.3288  0.7644  1 Cu 2.34
Br  0.6712  0.7537  0.7644  1 Cu 2.34
Br  0.2463  0.9175  0.7644  1 Cu 2.34
Br  0.9175  0.6712  0.2356  1 Cu 2.34
Br  0.3288  0.2463  0.2356  1 Cu 2.34
Br  0.7537  0.0825  0.2356  1 Cu 2.34

=====

Values of volume, in order: 28.717, 36.158, 34.225, all in Å³ per atom.
Values of VASP energy, in order: -2.7498, -2.5466, -2.8814, all in eV per atom.